BeReBiPb | PBE | optimized geometry

Cell and atoms, written as POSCAR:
```
BeReBiPb
1.0
6.823 0.000 0.000
0.000 6.823 0.000
0.000 0.000 6.823
Be Re Bi Pb
4 4 4 4
direct
0.000 0.000 0.000
0.000 0.500 0.500
0.500 0.000 0.500
0.500 0.500 0.000
0.000 0.000 0.500
0.000 0.500 0.000
0.500 0.000 0.000
0.500 0.500 0.500
0.250 0.250 0.750
0.250 0.750 0.250
0.750 0.250 0.250
0.750 0.750 0.750
0.250 0.250 0.250
0.250 0.750 0.750
0.750 0.250 0.750
0.750 0.750 0.250
```

Properties
Total magnetization ... 0.25 Bohr magnetons per cell
Energy relative to the lowest polymorph listed for this composition ... 0.000 eV per atom
SG ... F-43m